Entry 1:
DFT (PBE-GGA) results for ReTeSe4 after structural relaxation.

Geometry as extended XYZ:
```
12
Lattice="6.254 0.000 0.000 -1.352 7.424 0.000 -1.650 -2.564 7.220" Properties=species:S:1:pos:R:3 pbc="T T T"
Re 0.540 -1.277 3.605
Re 2.711 6.137 3.614
Te 0.891 3.360 0.158
Te 2.361 1.500 7.062
Se -2.166 4.897 5.327
Se -0.817 0.660 4.649
Se 0.948 5.958 1.636
Se 0.944 4.244 4.052
Se 2.307 0.616 3.167
Se 2.304 -1.098 5.584
Se 4.068 4.200 2.571
Se 5.417 -0.037 1.892
```

Energy above the lowest structure with this stoichiometry in meV per atom: 0.0

Entry 2:
DFT (PBE-GGA) results for Tl2Hg2Te after structural relaxation.

Geometry as extended XYZ:
```
5
Lattice="4.517 -2.604 0.000 4.517 2.604 0.000 -3.012 0.000 7.090" Properties=species:S:1:pos:R:3 pbc="T T T"
Tl 0.000 0.000 2.118
Tl 6.023 0.000 4.972
Hg 0.000 0.000 6.536
Hg 6.023 0.000 0.553
Te 3.011 0.000 3.545
```

Energy above the lowest structure with this stoichiometry in meV per atom: 0.0

Entry 3:
DFT (PBE-GGA) results for Ag3HgMo after structural relaxation.

Geometry as extended XYZ:
```
5
Lattice="5.278 0.000 0.000 0.000 5.278 0.000 0.000 0.000 5.278" Properties=species:S:1:pos:R:3 pbc="T T T"
Ag 0.000 0.000 2.639
Ag 0.000 2.639 0.000
Ag 2.639 0.000 0.000
Hg 2.639 2.639 2.639
Mo 0.000 0.000 0.000
```

Energy relative to the elements in meV per atom: 1429.4
Energy above the lowest structure with this stoichiometry in meV per atom: 68.8

Entry 4:
DFT (PBE-GGA) results for SmZnSiNi6 after structural relaxation.

Geometry as extended XYZ:
```
18
Lattice="-3.108 3.933 5.314 3.108 -3.933 5.314 3.108 3.933 -5.314" Properties=species:S:1:pos:R:3 pbc="T T T"
Sm 0.000 1.967 2.244
Sm 3.108 1.967 3.070
Zn 1.554 1.967 -2.657
Zn 1.554 -1.967 2.657
Si 0.000 0.000 0.000
Si 0.000 3.933 0.000
Ni 1.883 -0.057 1.232
Ni 4.332 -0.057 1.232
Ni 3.108 -1.967 4.396
Ni 3.108 1.967 0.215
Ni 1.883 3.876 -1.232
Ni 1.225 -0.057 4.082
Ni 1.883 3.990 1.232
Ni 1.225 0.057 6.545
Ni 0.000 1.967 5.099
Ni 0.000 5.900 0.918
Ni -1.225 3.990 4.082
Ni 1.225 3.990 4.082
```

Total DFT energy (no corrections) in eV for the cell shown: -93.343

Record-wise total magnetization values, in μB per atom: 0.0000, 0.0000, 0.7318, 0.0000